# 1
The following is a DFT calculation (GGA-PBE) of an optimized crystal structure of NaIn2Hg8Bi.

a = 5.8712 Å, b = 6.4152 Å, c = 8.6902 Å
α = 89.95°, β = 89.95°, γ = 83.59°
With the nearest neighbours (Å) after each atom.
Space group P-1 (No. 2)
Inequivalent atoms, fractional coordinates:
Na (0.0000, 0.0000, 0.0000) [1 per cell]  2 Bi 3.21, 8 Hg 3.23-3.31
In (0.4910, 0.2512, 0.5000) [2 per cell]  2 In 3.21, 8 Hg 3.24-3.32
Hg (0.0053, 0.7537, 0.3250) [2 per cell]  3 Hg 3.04-3.27, 1 Na 3.23, 1 Bi 3.26, 2 In 3.29-3.32
Hg (0.0056, 0.7550, 0.6751) [2 per cell]  3 Hg 3.04-3.27, 1 Na 3.23, 1 Bi 3.26, 2 In 3.29-3.32
Hg (0.4997, 0.0002, 0.1757) [2 per cell]  3 Hg 3.05-3.21, 2 In 3.24, 2 Na 3.31
Hg (0.4999, 0.5001, 0.1752) [2 per cell]  3 Hg 3.04-3.21, 2 In 3.24-3.25, 2 Bi 3.31
Bi (0.0000, 0.5000, 0.0000) [1 per cell]  2 Na 3.21, 8 Hg 3.26-3.31

Results
Total magnetization: 0.0 μB/f.u.
DFT formation energy: -0.02 eV per atom

=====

# 2
The following is a DFT calculation (GGA-PBE) of an optimized crystal structure of NaIn2Hg2Bi2.

a = 10.0770 Å, b = 4.6962 Å, c = 9.8884 Å
α = 90.00°, β = 115.90°, γ = 90.00°
With the nearest neighbours (Å) after each atom.
Space group C2/m (No. 12)
Inequivalent atoms, fractional coordinates:
Na (0.0000, 0.0000, 0.0000) [2 per cell]  6 Hg 3.13-3.32, 4 Bi 3.49
In (0.2298, 0.5000, 0.6196) [4 per cell]  4 Bi 3.12-3.24, 2 Hg 3.45, 2 In 3.48
Hg (0.2405, 0.0000, 0.8804) [4 per cell]  3 Na 3.13-3.32, 3 Bi 3.26-3.42, 2 Hg 3.28, 2 In 3.45
Bi (0.0309, 0.5000, 0.2730) [4 per cell]  4 In 3.12-3.24, 3 Hg 3.26-3.42, 2 Na 3.49

Results
Total magnetization: 0.0 μB/f.u.
DFT formation energy: -0.06 eV per atom

=====

# 3
The following is a DFT calculation (GGA-PBE) of an optimized crystal structure of NaIn2Hg2Bi.

a = 4.7139 Å, b = 9.5048 Å, c = 7.5805 Å
α = 90.00°, β = 90.00°, γ = 90.00°
With the nearest neighbours (Å) after each atom.
Space group Pmc2_1 (No. 26)
Inequivalent atoms, fractional coordinates:
Na (0.0000, 0.0946, 0.0000) [2 per cell]  5 Hg 3.18-3.38, 1 In 3.41, 2 Bi 3.45
In (0.0000, 0.2612, 0.4373) [2 per cell]  3 Hg 2.96-3.09, 2 Bi 3.19
In (0.5000, 0.4114, 0.1583) [2 per cell]  5 Hg 3.09-3.33, 1 Bi 3.37
Hg (0.0000, 0.4289, 0.8958) [2 per cell]  3 In 2.96-3.09, 2 Bi 3.26, 1 Na 3.28
Hg (0.5000, 0.0919, 0.2825) [2 per cell]  3 In 3.09-3.18, 1 Bi 3.16, 4 Na 3.18-3.38
Bi (0.5000, 0.2373, 0.7200) [2 per cell]  3 Hg 3.16-3.26, 3 In 3.19-3.37, 2 Na 3.45

Results
Total magnetization: 0.0 μB/f.u.
DFT formation energy: -0.09 eV per atom

=====

# 4
The following is a DFT calculation (GGA-PBE) of an optimized crystal structure of Na2InHgBi.

a = 7.7111 Å, b = 5.0295 Å, c = 7.9491 Å
α = 90.00°, β = 106.43°, γ = 90.00°
With the nearest neighbours (Å) after each atom.
Space group P2_1/m (No. 11)
Inequivalent atoms, fractional coordinates:
Na (0.0241, 0.2500, 0.1802) [2 per cell]  3 Hg 3.20-3.28, 3 Bi 3.35-3.41, 3 In 3.37-3.58
Na (0.3815, 0.7500, 0.6207) [2 per cell]  3 Hg 3.27-3.58, 3 Bi 3.36-3.45, 1 In 3.61
In (0.3198, 0.2500, 0.9382) [2 per cell]  1 Hg 2.92, 3 Bi 3.17-3.19
Hg (0.0461, 0.2500, 0.5988) [2 per cell]  1 In 2.92, 2 Hg 2.94, 3 Na 3.20-3.27
Bi (0.3235, 0.7500, 0.1858) [2 per cell]  3 In 3.17-3.19, 6 Na 3.35-3.45

Results
Total magnetization: 0.0 μB/f.u.
DFT formation energy: -0.25 eV per atom

=====

# 5
The following is a DFT calculation (GGA-PBE) of an optimized crystal structure of NbInHgBi2.

a = 5.7367 Å, b = 5.7367 Å, c = 5.5418 Å
α = 90.00°, β = 90.00°, γ = 90.00°
With the nearest neighbours (Å) after each atom.
Space group P4/mmm (No. 123)
Inequivalent atoms, fractional coordinates:
Nb (0.0000, 0.0000, 0.0000) [1 per cell]  2 Hg 2.77
In (0.5000, 0.5000, 0.0000) [1 per cell]  8 Bi 3.99, 4 Nb 4.06
Hg (0.0000, 0.0000, 0.5000) [1 per cell]  2 Nb 2.77, 4 Bi 2.87
Bi (0.0000, 0.5000, 0.5000) [2 per cell]  2 Hg 2.87

Results
Total magnetization: 3.0 μB/f.u.
DFT formation energy: 1.08 eV per atom

=====

# 6
The following is a DFT calculation (GGA-PBE) of an optimized crystal structure of NdInHgBi.

a = 4.6299 Å, b = 4.7351 Å, c = 5.0499 Å
α = 90.00°, β = 90.00°, γ = 90.00°
With the nearest neighbours (Å) after each atom.
Space group Pmmm (No. 47)
Inequivalent atoms, fractional coordinates:
Nd (0.0000, 0.0000, 0.0000) [1 per cell]  4 Bi 3.31, 4 Hg 3.43, 4 In 3.46
In (0.0000, 0.5000, 0.5000) [1 per cell]  4 Hg 3.31, 4 Bi 3.43, 4 Nd 3.46
Hg (0.5000, 0.0000, 0.5000) [1 per cell]  4 In 3.31, 4 Nd 3.43, 4 Bi 3.46
Bi (0.5000, 0.5000, 0.0000) [1 per cell]  4 Nd 3.31, 4 In 3.43, 4 Hg 3.46

Results
Total magnetization: 0.0 μB/f.u.
Distance to the lowest polymorph of the same formula: 0.000 eV/f.u.
DFT formation energy: -0.45 eV per atom

=====

# 7
The following is a DFT calculation (GGA-PBE) of an optimized crystal structure of NdInHgBi.

a = 7.7662 Å, b = 7.7662 Å, c = 7.7662 Å
α = 90.00°, β = 90.00°, γ = 90.00°
With the nearest neighbours (Å) after each atom.
Space group F-43m (No. 216)
Inequivalent atoms, fractional coordinates:
Nd (0.0000, 0.0000, 0.0000) [4 per cell]  4 Hg 3.36, 4 Bi 3.36
In (0.0000, 0.0000, 0.5000) [4 per cell]  4 Hg 3.36, 4 Bi 3.36
Hg (0.2500, 0.2500, 0.7500) [4 per cell]  4 In 3.36, 4 Nd 3.36
Bi (0.2500, 0.2500, 0.2500) [4 per cell]  4 In 3.36, 4 Nd 3.36

Results
Total magnetization: 0.0 μB/f.u.
Distance to the lowest polymorph of the same formula: 0.559 eV/f.u.
DFT formation energy: -0.31 eV per atom

=====

# 8
The following is a DFT calculation (GGA-PBE) of an optimized crystal structure of In2NiHgBi.

a = 5.0049 Å, b = 5.0049 Å, c = 5.0983 Å
α = 90.00°, β = 90.00°, γ = 90.00°
With the nearest neighbours (Å) after each atom.
Space group P4/mmm (No. 123)
Inequivalent atoms, fractional coordinates:
In (0.0000, 0.5000, 0.0000) [2 per cell]  2 Ni 2.50
Ni (0.0000, 0.0000, 0.0000) [1 per cell]  4 In 2.50, 2 Hg 2.55
Hg (0.0000, 0.0000, 0.5000) [1 per cell]  2 Ni 2.55
Bi (0.5000, 0.5000, 0.5000) [1 per cell]  4 Hg 3.54, 8 In 3.57

Results
Total magnetization: 0.0 μB/f.u.
Distance to the lowest polymorph of the same formula: 0.407 eV/f.u.
DFT formation energy: 0.13 eV per atom

=====

# 9
The following is a DFT calculation (GGA-PBE) of an optimized crystal structure of InNiHg2Bi.

a = 5.1068 Å, b = 5.1068 Å, c = 5.0984 Å
α = 90.00°, β = 90.00°, γ = 90.00°
With the nearest neighbours (Å) after each atom.
Space group P4/mmm (No. 123)
Inequivalent atoms, fractional coordinates:
In (0.0000, 0.0000, 0.0000) [1 per cell]  8 Hg 3.61, 4 Bi 3.61
Ni (0.5000, 0.5000, 0.5000) [1 per cell]  2 Bi 2.55, 4 Hg 2.55
Hg (0.0000, 0.5000, 0.5000) [2 per cell]  2 Ni 2.55
Bi (0.5000, 0.5000, 0.0000) [1 per cell]  2 Ni 2.55

Results
Total magnetization: 0.0 μB/f.u.
DFT formation energy: 0.13 eV per atom

=====

# 10
The following is a DFT calculation (GGA-PBE) of an optimized crystal structure of In2NiHgBi.

a = 4.9950 Å, b = 4.9950 Å, c = 5.2908 Å
α = 90.00°, β = 90.00°, γ = 90.00°
With the nearest neighbours (Å) after each atom.
Space group P4/mmm (No. 123)
Inequivalent atoms, fractional coordinates:
In (0.0000, 0.5000, 0.0000) [2 per cell]  2 Ni 2.50
Ni (0.0000, 0.0000, 0.0000) [1 per cell]  4 In 2.50, 2 Bi 2.65
Hg (0.5000, 0.5000, 0.5000) [1 per cell]  4 Bi 3.53, 8 In 3.64
Bi (0.0000, 0.0000, 0.5000) [1 per cell]  2 Ni 2.65

Results
Total magnetization: 0.0 μB/f.u.
Distance to the lowest polymorph of the same formula: 0.000 eV/f.u.
DFT formation energy: 0.05 eV per atom

=====

# 11
The following is a DFT calculation (GGA-PBE) of an optimized crystal structure of NpInHgBi.

a = 7.6265 Å, b = 7.6265 Å, c = 7.6265 Å
α = 90.00°, β = 90.00°, γ = 90.00°
With the nearest neighbours (Å) after each atom.
Space group F-43m (No. 216)
Inequivalent atoms, fractional coordinates:
Np (0.0000, 0.0000, 0.0000) [4 per cell]  4 Hg 3.30, 4 Bi 3.30
In (0.0000, 0.0000, 0.5000) [4 per cell]  4 Bi 3.30, 4 Hg 3.30
Hg (0.2500, 0.2500, 0.7500) [4 per cell]  4 In 3.30, 4 Np 3.30
Bi (0.2500, 0.2500, 0.2500) [4 per cell]  4 In 3.30, 4 Np 3.30

Results
Total magnetization: 4.5 μB/f.u.
Distance to the lowest polymorph of the same formula: 0.746 eV/f.u.
DFT formation energy: 0.17 eV per atom

=====

# 12
The following is a DFT calculation (GGA-PBE) of an optimized crystal structure of NpInHgBi.

a = 4.5399 Å, b = 4.5711 Å, c = 5.0955 Å
α = 90.00°, β = 90.00°, γ = 90.00°
With the nearest neighbours (Å) after each atom.
Space group Pmmm (No. 47)
Inequivalent atoms, fractional coordinates:
Np (0.0000, 0.0000, 0.0000) [1 per cell]  4 Bi 3.22, 4 Hg 3.41, 4 In 3.42
In (0.0000, 0.5000, 0.5000) [1 per cell]  4 Hg 3.22, 4 Bi 3.41, 4 Np 3.42
Hg (0.5000, 0.0000, 0.5000) [1 per cell]  4 In 3.22, 4 Np 3.41, 4 Bi 3.42
Bi (0.5000, 0.5000, 0.0000) [1 per cell]  4 Np 3.22, 4 In 3.41, 4 Hg 3.42

Results
Total magnetization: 4.4 μB/f.u.
Distance to the lowest polymorph of the same formula: 0.000 eV/f.u.
DFT formation energy: -0.02 eV per atom